Here is crystalline V2H2Rh at its relaxed geometry from Alexandria via LeMat-Bulk. Energies are from GGA-PBE.

```
V2H2Rh
1.0
-1.627 1.627 4.360
1.627 -1.627 4.360
1.627 1.627 -4.360
V H Rh
2 2 1
Direct
0.164 0.164 0.000 V
0.836 0.836 0.000 V
0.250 0.750 0.500 H
0.750 0.250 0.500 H
0.500 0.500 0.000 Rh
```

Output
DOS(E_F) = 5.55 states/eV per cell
Calculated total energy = -6.5781 eV per atom

---

Here is crystalline LiTl2Cr2S6 at its relaxed geometry from Alexandria via LeMat-Bulk. Energies are from GGA-PBE.

```
LiTl2Cr2S6
1.0
3.072 -5.473 0.000
3.072 5.473 0.000
-1.846 0.000 6.961
Li Tl Cr S
1 2 2 6
Direct
0.000 0.000 0.000 Li
0.157 0.843 0.500 Tl
0.843 0.157 0.500 Tl
0.335 0.665 0.000 Cr
0.665 0.335 0.000 Cr
0.050 0.428 0.187 S
0.314 0.314 0.814 S
0.428 0.050 0.187 S
0.572 0.950 0.813 S
0.686 0.686 0.186 S
0.950 0.572 0.813 S
```

Output
Formation energy from raw total energies = -531 meV/atom
DOS(E_F) = 6.05 states/eV per cell
Calculated total energy = -5.1365 eV per atom

---

Here is crystalline Ho5TlTe2 at its relaxed geometry from Alexandria via LeMat-Bulk. Energies are from GGA-PBE.

```
Ho5TlTe2
1.0
3.011 -6.137 0.000
3.011 6.137 0.000
0.000 0.000 13.486
Ho Tl Te
10 2 4
Direct
0.060 0.940 0.612 Ho
0.060 0.940 0.888 Ho
0.382 0.618 0.553 Ho
0.382 0.618 0.947 Ho
0.384 0.616 0.250 Ho
0.616 0.384 0.750 Ho
0.618 0.382 0.053 Ho
0.618 0.382 0.447 Ho
0.940 0.060 0.112 Ho
0.940 0.060 0.388 Ho
0.266 0.734 0.750 Tl
0.734 0.266 0.250 Tl
0.189 0.811 0.093 Te
0.189 0.811 0.407 Te
0.811 0.189 0.593 Te
0.811 0.189 0.907 Te
```

Output
Formation energy from raw total energies = -486 meV/atom
DOS(E_F) = 18.57 states/eV per cell
Calculated total energy = -4.4286 eV per atom

---

Here is crystalline LiZrCo3 at its relaxed geometry from Alexandria via LeMat-Bulk. Energies are from GGA-PBE.

```
LiZrCo3
1.0
4.625 0.000 0.000
0.000 4.625 0.000
0.000 0.000 4.625
Li Zr Co
1 1 3
Direct
0.000 0.000 0.000 Li
0.500 0.500 0.500 Zr
0.000 0.500 0.500 Co
0.500 0.000 0.500 Co
0.500 0.500 0.000 Co
```

Output
DOS(E_F) = 10.69 states/eV per cell
Calculated total energy = -5.0880 eV per atom
Energy of formation from the pure elements = 1268 meV/atom

---

Here is crystalline LiHfTl2 at its relaxed geometry from Alexandria via LeMat-Bulk. Energies are from GGA-PBE.

```
LiHfTl2
1.0
5.236 0.000 0.000
0.000 5.236 0.000
0.000 0.000 3.229
Li Hf Tl
1 1 2
Direct
0.000 0.000 0.000 Li
0.500 0.500 0.000 Hf
0.000 0.500 0.500 Tl
0.500 0.000 0.500 Tl
```

Output
DOS(E_F) = 2.22 states/eV per cell
Calculated total energy = -4.1752 eV per atom
Energy of formation from the pure elements = -25 meV/atom

---

Here is crystalline Ho5SbAs4 at its relaxed geometry from Alexandria via LeMat-Bulk. Energies are from GGA-PBE.

```
Ho5SbAs4
1.0
6.895 -2.071 0.000
6.895 2.071 0.000
-5.038 0.000 8.872
Ho Sb As
5 1 4
Direct
0.000 0.000 0.000 Ho
0.205 0.205 0.810 Ho
0.394 0.394 0.607 Ho
0.606 0.606 0.393 Ho
0.795 0.795 0.190 Ho
0.000 0.000 0.500 Sb
0.202 0.202 0.297 As
0.402 0.402 0.101 As
0.598 0.598 0.899 As
0.798 0.798 0.703 As
```

Output
Formation energy from raw total energies = -1430 meV/atom
DOS(E_F) = 1.84 states/eV per cell
Calculated total energy = -5.9908 eV per atom